First-principles (PBE+U) data for crystalline Ca2MnNb2O8 at its relaxed geometry, as listed in Alexandria.

Lattice parameters (Å, degrees): 19.3818 6.3373 5.5473 90.00 91.81 90.00
Closest atoms and distances in Å follow each position.
Space group C2/c (No. 15)
Symmetry-distinct sites (fractional):
Ca 0.2096 0.1872 0.2435 x8  4 O 2.24-2.37
Mn 0.0000 0.1475 0.2500 x4  6 O 2.17-2.37
Nb 0.1134 0.3459 0.7581 x8  4 O 1.87-2.05
O 0.0576 0.1491 0.5924 x8  1 Nb 1.87
O 0.0729 0.3748 0.0896 x8  2 Nb 2.03-2.14, 1 Mn 2.22
O 0.1842 0.4386 0.5123 x8  1 Nb 2.05, 1 Ca 2.25
O 0.1847 0.1456 0.8474 x8  1 Nb 1.93

Summary:
Theoretical density = 4.4 g/cm³
Electronic total energy = -8.098 eV per atom
Density of states at the Fermi level = 0.00 states/eV/cell